Entry 1:
{"formula": "Ho5Bi2Te2", "functional": "PBE-GGA", "state": "optimized geometry", "formation_energy_uncorrected_ev_per_atom": -0.873, "final_energy_ev_per_atom": -4.98, "magmom_total_mub_per_cell": 0.0, "cell": [[-2.034, -6.426, -4.746], [7.892, -1.387, -1.504], [-3.594, -3.926, 6.857]], "species": ["Bi", "Ho", "Te", "Te", "Bi", "Ho", "Bi", "Ho", "Ho", "Bi", "Ho", "Ho", "Te", "Ho", "Ho", "Te", "Ho", "Ho"], "fractional_positions": [[0.500, 0.300, 0.599], [0.657, 0.287, 0.265], [0.645, 0.854, 0.000], [0.355, 0.146, 0.000], [0.500, 0.700, 0.401], [0.657, 0.022, 0.735], [0.000, 0.800, 0.599], [0.343, 0.978, 0.265], [0.000, 0.000, 0.000], [0.000, 0.200, 0.401], [0.343, 0.713, 0.735], [0.843, 0.787, 0.265], [0.855, 0.354, 0.000], [0.500, 0.500, 0.000], [0.157, 0.213, 0.735], [0.145, 0.646, 0.000], [0.843, 0.522, 0.735], [0.157, 0.478, 0.265]]}

---

Entry 2:
{"formula": "Ho4BiTe5", "functional": "PBE-GGA", "state": "optimized geometry", "formation_energy_uncorrected_ev_per_atom": -1.149, "final_energy_ev_per_atom": -4.94, "magmom_total_mub_per_cell": 0.0, "cell": [[4.323, 0.000, 0.000], [0.000, 8.889, -0.545], [-2.162, -1.844, 9.334]], "species": ["Ho", "Te", "Ho", "Te", "Te", "Bi", "Te", "Ho", "Te", "Ho"], "fractional_positions": [[0.005, 0.262, 0.009], [0.833, 0.666, 0.666], [0.995, 0.738, 0.991], [0.162, 0.845, 0.325], [0.167, 0.334, 0.334], [0.500, 0.000, 0.000], [0.838, 0.155, 0.675], [0.326, 0.899, 0.652], [0.500, 0.500, 0.000], [0.674, 0.101, 0.348]]}

---

Entry 3:
{"formula": "Ho3Bi3Te", "functional": "PBE-GGA", "state": "optimized geometry", "formation_energy_uncorrected_ev_per_atom": -0.652, "final_energy_ev_per_atom": -4.73, "magmom_total_mub_per_cell": 0.0, "cell": [[7.637, 0.374, 0.556], [-3.067, 7.003, 0.556], [-0.183, -0.296, 8.313]], "species": ["Ho", "Ho", "Bi", "Ho", "Bi", "Ho", "Bi", "Bi", "Bi", "Ho", "Te", "Te", "Bi", "Ho"], "fractional_positions": [[0.497, 0.162, 0.310], [0.503, 0.838, 0.690], [0.161, 0.839, 0.500], [0.162, 0.497, 0.310], [0.402, 0.402, 0.659], [0.942, 0.942, 0.219], [0.225, 0.775, 0.000], [0.839, 0.161, 0.500], [0.775, 0.225, 0.000], [0.058, 0.058, 0.781], [0.732, 0.732, 0.933], [0.268, 0.268, 0.067], [0.598, 0.598, 0.341], [0.838, 0.503, 0.690]]}

---

Entry 4:
{"formula": "Ho7Bi2Te2", "functional": "PBE-GGA", "state": "optimized geometry", "formation_energy_uncorrected_ev_per_atom": -0.402, "final_energy_ev_per_atom": -4.59, "magmom_total_mub_per_cell": 0.0, "cell": [[-0.532, -6.913, -1.684], [5.124, 0.730, -4.608], [4.800, -0.495, 5.256]], "species": ["Ho", "Ho", "Te", "Bi", "Ho", "Ho", "Ho", "Ho", "Te", "Ho", "Bi"], "fractional_positions": [[0.000, 0.000, 0.000], [0.500, 0.736, 0.000], [0.723, 0.000, 0.277], [0.807, 0.500, 0.807], [0.000, 0.264, 0.500], [0.500, 0.260, 0.500], [0.000, 0.736, 0.500], [0.500, 0.264, 0.000], [0.277, 0.000, 0.723], [0.500, 0.740, 0.500], [0.193, 0.500, 0.193]]}

---

Which formula does entry 4 have?
Ho7Bi2Te2

---

Number 1 is which compound?
Ho5Bi2Te2

---

Repeat the fourth record exactly.
{"formula": "Ho7Bi2Te2", "functional": "PBE-GGA", "state": "optimized geometry", "formation_energy_uncorrected_ev_per_atom": -0.402, "final_energy_ev_per_atom": -4.59, "magmom_total_mub_per_cell": 0.0, "cell": [[-0.532, -6.913, -1.684], [5.124, 0.730, -4.608], [4.800, -0.495, 5.256]], "species": ["Ho", "Ho", "Te", "Bi", "Ho", "Ho", "Ho", "Ho", "Te", "Ho", "Bi"], "fractional_positions": [[0.000, 0.000, 0.000], [0.500, 0.736, 0.000], [0.723, 0.000, 0.277], [0.807, 0.500, 0.807], [0.000, 0.264, 0.500], [0.500, 0.260, 0.500], [0.000, 0.736, 0.500], [0.500, 0.264, 0.000], [0.277, 0.000, 0.723], [0.500, 0.740, 0.500], [0.193, 0.500, 0.193]]}